First-principles (GGA-PBE) data for a geometry-optimized La2TbSn2Pb5 structure, as listed in the Open Quantum Materials Database.

Geometry as POSCAR:
```
La2TbSn2Pb5
1.0
2.366 -13.106 0.000
2.366 13.106 0.000
0.000 0.000 4.749
La Tb Sn Pb
2 1 2 5
Direct
0.185 0.815 0.000
0.815 0.185 0.000
0.000 0.000 0.000
0.094 0.906 0.500
0.906 0.094 0.500
0.292 0.708 0.500
0.406 0.594 0.000
0.500 0.500 0.500
0.594 0.406 0.000
0.708 0.292 0.500
```

E_tot (eV for the cell shown): -45.8
Density (g cm⁻³): 9.6
Energy above the lowest structure with this stoichiometry (meV per atom): 10